Entry 1:
The following is a DFT calculation (PBE-GGA) of a geometry-optimized KIrICl2 structure.

As for the uncorrected formation energy: -280 meV per atom. As for the crystal system: tetragonal.

The space group is P4/mmm (No. 123) and the conventional cell measures 4.664, 4.664 and 8.159 Å, with angles of 90.00, 90.00 and 90.00 degrees. The distinct sites, in fractional coordinates, are K at (0.000, 0.000, 0.000), Ir at (0.000, 0.000, 0.500), I at (0.500, 0.500, 0.000) and Cl at (0.000, 0.500, 0.500).

---

Entry 2:
The following is a DFT calculation (PBE-GGA) of a geometry-optimized NdCoNiGe2 structure.

As for the crystal system: tetragonal. For the formation energy, the calculation gives -632 meV per atom.

The space group is I-4m2 (No. 119) and the conventional cell measures 4.097, 4.097 and 10.097 Å, with angles of 90.00, 90.00 and 90.00 degrees. The distinct sites, in fractional coordinates, are Nd at (0.000, 0.000, 0.000), Co at (0.000, 0.500, 0.250), Ni at (0.000, 0.500, 0.750) and Ge at (0.000, 0.000, 0.369).

---

Entry 3:
The following is a DFT calculation (PBE-GGA) of a geometry-optimized InSiHg2 structure.

As for the uncorrected formation energy: 250 meV per atom. As for the crystal system: monoclinic.

The space group is Cm (No. 8) and the conventional cell measures 13.802, 3.220 and 4.647 Å, with angles of 90.00, 109.60 and 90.00 degrees. The distinct sites, in fractional coordinates, are In at (0.000, 0.000, 0.000), Si at (0.305, 0.000, 0.805), Hg at (0.107, 0.500, 0.606) and Hg at (0.303, 0.500, 0.303).

---

Calculated DFT total energy, -16.60; -60.10; -15.53 eV/cell (same order as the records).
Calculated D(E_F), 4.7; 5.2; 2.3 states/eV per cell (same order as the records).